# 1
First-principles (GGA-PBE) data for an optimized crystal structure of K2Rb4Pb, as listed in Alexandria.

a = 7.217 Å, b = 7.217 Å, c = 22.177 Å
α = 90.00°, β = 90.00°, γ = 90.00°
Space group I4/mmm (No. 139)
One atom of each set of equivalent atoms:
K 0.000 0.000 0.130 (multiplicity 4)
Rb 0.000 0.000 0.333 (multiplicity 4)
Rb 0.000 0.500 0.000 (multiplicity 4)
Pb 0.000 0.000 0.500 (multiplicity 2)

Computed properties:
* total energy: -18.39 eV/cell

# 2
First-principles (GGA-PBE) data for an optimized crystal structure of KRb2Pb, as listed in Alexandria.

a = 7.436 Å, b = 7.552 Å, c = 9.255 Å
α = 74.47°, β = 86.25°, γ = 75.33°
Space group P1 (No. 1)
One atom of each set of equivalent atoms:
K 0.000 0.000 0.000 (multiplicity 1)
K 0.173 0.562 0.672 (multiplicity 1)
Rb 0.402 0.389 0.106 (multiplicity 1)
Rb 0.550 0.962 0.761 (multiplicity 1)
Rb 0.620 0.746 0.334 (multiplicity 1)
Rb 0.966 0.194 0.433 (multiplicity 1)
Pb 0.714 0.436 0.741 (multiplicity 1)
Pb 0.873 0.515 0.018 (multiplicity 1)

Computed properties:
* relative energy among the computed polymorphs: 17.4 meV per atom

# 3
First-principles (GGA-PBE) data for an optimized crystal structure of KRb2Pb, as listed in Alexandria.

a = 12.281 Å, b = 8.301 Å, c = 11.118 Å
α = 90.00°, β = 116.86°, γ = 90.00°
Space group P2_1/c (No. 14)
One atom of each set of equivalent atoms:
K 0.001 0.001 0.307 (multiplicity 4)
Rb 0.289 0.222 0.146 (multiplicity 4)
Rb 0.338 0.749 0.418 (multiplicity 4)
Pb 0.085 0.647 0.542 (multiplicity 4)

Computed properties:
* relative energy among the computed polymorphs: 17.8 meV per atom

# 4
First-principles (GGA-PBE) data for an optimized crystal structure of K2Rb5Pb, as listed in Alexandria.

a = 6.731 Å, b = 15.553 Å, c = 21.268 Å
α = 90.00°, β = 90.00°, γ = 90.00°
Space group Cmcm (No. 63)
One atom of each set of equivalent atoms:
K 0.000 0.242 0.163 (multiplicity 8)
Rb 0.000 0.071 0.616 (multiplicity 8)
Rb 0.000 0.354 0.552 (multiplicity 8)
Rb 0.000 0.480 0.750 (multiplicity 4)
Pb 0.000 0.236 0.750 (multiplicity 4)

Computed properties:
* total energy: -43.60 eV/cell